Entry 1:
## Er8Pb3CS3 (GGA-PBE)

Data for a relaxed structure of Er8Pb3CS3.

Calculated values
The uncorrected formation energy comes out at -15.18 eV/f.u. As for the mass density: 8.97 g cm⁻³. The spin magnetization is 0.00 μB/f.u.

Cell: 7.5664 7.5851 8.8611 Å, 115.49 90.00 119.92°
Fractional positions:
1 Er 0.2674 0.5347 0.3027
2 Er 0.7326 0.4653 0.6973
3 Er 0.7852 0.5705 0.3151
4 Er 0.2148 0.4295 0.6849
5 Er 0.7853 0.0297 0.3153
6 Er 0.2147 0.9703 0.6847
7 Er 0.2444 0.0297 0.3153
8 Er 0.7556 0.9703 0.6847
9 Pb 0.0000 0.0000 0.0000
10 Pb 0.0000 0.5000 0.0000
11 Pb 0.5000 0.5000 0.0000
12 C 0.0000 0.0000 0.5000
13 S 0.5000 0.0000 0.5000
14 S 0.5000 0.5000 0.5000
15 S 0.0000 0.5000 0.5000

---

Entry 2:
## Er3PbCS (GGA-PBE)

Data for a relaxed structure of Er3PbCS.

Calculated values
The uncorrected formation energy comes out at -4.69 eV/f.u. As for the mass density: 8.80 g cm⁻³. The spin magnetization is 0.00 μB/f.u.

Cell: 3.6781 7.4405 11.2097 Å, 112.14 90.00 90.00°
Fractional positions:
1 Er 0.2500 0.7600 0.4927
2 Er 0.7500 0.9240 0.1310
3 Er 0.7500 0.5057 0.1298
4 Er 0.7500 0.2400 0.5073
5 Er 0.2500 0.4943 0.8702
6 Er 0.2500 0.0760 0.8690
7 Pb 0.7500 0.6890 0.7079
8 Pb 0.2500 0.3110 0.2921
9 C 0.2500 0.7079 0.0836
10 C 0.7500 0.2921 0.9164
11 S 0.2500 0.1435 0.6410
12 S 0.7500 0.8565 0.3590

---

Entry 3:
## Er5SbPb2C (GGA-PBE)

Data for a relaxed structure of Er5SbPb2C.

Calculated values
The uncorrected formation energy comes out at -5.72 eV/f.u. As for the mass density: 9.40 g cm⁻³. The spin magnetization is 0.00 μB/f.u.

Cell: 4.6983 4.6983 11.0844 Å, 90.00 90.00 90.00°
Fractional positions:
1 Er 0.0000 0.5000 0.5000
2 Er 0.5000 0.0000 0.5000
3 Er 0.0000 0.0000 0.7264
4 Er 0.0000 0.0000 0.2736
5 Er 0.5000 0.5000 0.0000
6 Sb 0.0000 0.0000 0.0000
7 Pb 0.5000 0.5000 0.2894
8 Pb 0.5000 0.5000 0.7106
9 C 0.0000 0.0000 0.5000

---

Entry 4:
## Er2Sc2Pb2C (GGA-PBE)

Data for a relaxed structure of Er2Sc2Pb2C.

Calculated values
The energy relative to the elements comes out at -669 meV per atom. As for the mass density: 8.61 g cm⁻³. The spin magnetization is 0.00 μB/f.u.

Cell: 4.5594 4.5594 8.5248 Å, 105.51 105.51 90.00°
Fractional positions:
1 Er 0.1559 0.1559 0.3118
2 Er 0.8441 0.8441 0.6882
3 Sc 0.0000 0.5000 0.0000
4 Sc 0.5000 0.0000 0.0000
5 Pb 0.3608 0.3608 0.7216
6 Pb 0.6392 0.6392 0.2784
7 C 0.0000 0.0000 0.0000